# CaSiP | the Alexandria database | GGA-PBE | optimized geometry
# raw formation energy	-466	meV/atom
data_CaSiP
_chemical_formula_sum 'Ca6 Si6 P6'
_cell_length_a 4.011
_cell_length_b 27.586
_cell_length_c 4.015
_cell_angle_alpha 90.00
_cell_angle_beta 116.50
_cell_angle_gamma 90.00
_space_group_name_H-M_alt 'P 1 21 1'
_space_group_IT_number 4
loop_
_space_group_symop_operation_xyz
'x,y,z'
'-x,y+1/2,-z'
loop_
_atom_site_label
_atom_site_fract_x
_atom_site_fract_y
_atom_site_fract_z
Ca1 0.079 0.000 0.428
Ca2 0.354 0.714 0.147
Ca3 0.392 0.889 0.116
Si1 0.043 0.808 0.464
Si2 0.208 0.602 0.287
Si3 0.454 0.078 0.051
P1 0.267 0.445 0.226
P2 0.304 0.152 0.198
P3 0.307 0.287 0.187

# CaSiP | the Alexandria database | GGA-PBE | optimized geometry
# raw formation energy	-392	meV/atom
data_CaSiP
_chemical_formula_sum 'Ca4 Si4 P4'
_cell_length_a 6.386
_cell_length_b 6.386
_cell_length_c 6.386
_cell_angle_alpha 90.00
_cell_angle_beta 90.00
_cell_angle_gamma 90.00
_space_group_name_H-M_alt 'P 21 3'
_space_group_IT_number 198
_space_group_name_Hall 'P 2ac 2ab 3'
loop_
_atom_site_label
_atom_site_fract_x
_atom_site_fract_y
_atom_site_fract_z
Ca1 0.157 0.157 0.157
Si1 0.187 0.313 0.687
P1 0.081 0.581 0.919

# CaSi2P | the Alexandria database | GGA-PBE | optimized geometry
# raw formation energy	-69	meV/atom
data_CaSi2P
_chemical_formula_sum 'Ca4 Si8 P4'
_cell_length_a 7.080
_cell_length_b 7.080
_cell_length_c 6.708
_cell_angle_alpha 90.00
_cell_angle_beta 90.00
_cell_angle_gamma 90.00
_space_group_name_H-M_alt 'I -4 2 d'
_space_group_IT_number 122
_space_group_name_Hall 'I -4 2bw'
loop_
_atom_site_label
_atom_site_fract_x
_atom_site_fract_y
_atom_site_fract_z
Ca1 0.000 0.000 0.000
Si1 0.174 0.750 0.625
P1 0.000 0.000 0.500

# CaSi2P | the Alexandria database | GGA-PBE | optimized geometry
# raw formation energy	-121	meV/atom
data_CaSi2P
_chemical_formula_sum 'Ca2 Si4 P2'
_cell_length_a 3.945
_cell_length_b 4.128
_cell_length_c 9.829
_cell_angle_alpha 90.00
_cell_angle_beta 90.00
_cell_angle_gamma 90.00
_space_group_name_H-M_alt 'I m m 2'
_space_group_IT_number 44
loop_
_space_group_symop_operation_xyz
'x,y,z'
'-x,-y,z'
'-x,y,z'
'x,-y,z'
'x+1/2,y+1/2,z+1/2'
'-x+1/2,-y+1/2,z+1/2'
'-x+1/2,y+1/2,z+1/2'
'x+1/2,-y+1/2,z+1/2'
loop_
_atom_site_label
_atom_site_fract_x
_atom_site_fract_y
_atom_site_fract_z
Ca1 0.000 0.000 0.000
Si1 0.000 0.000 0.619
Si2 0.000 0.500 0.265
P1 0.000 0.500 0.751

Number 1: magnetic moment 0.000 μB per atom. Number 2: magnetic moment 0.000 μB per atom. Number 3: magnetic moment 0.000 μB per atom. Number 4: magnetic moment 0.000 μB per atom.